# 1
The following is a PBE-GGA calculation of an optimized crystal structure of ScTaMnRu, from the Alexandria database.

Output
Symmetry: P4mm, No. 99
E_form (kJ/mol of formula units): -134
DOS at the Fermi energy (states/eV per cell): 3.21

```
ScTaMnRu
1.0
3.136 0.000 0.000
0.000 3.136 0.000
0.000 0.000 6.374
Sc Ta Mn Ru
1 1 1 1
direct
0.000 0.000 0.000 Sc
0.000 0.000 0.515 Ta
0.500 0.500 0.736 Mn
0.500 0.500 0.267 Ru
```

***

# 2
The following is a PBE-GGA calculation of an optimized crystal structure of GeTeSeI2, from the Alexandria database.

Output
Uncorrected formation energy (meV/atom): 562
Symmetry: P4/mmm, No. 123
Excess energy over the best structure of this formula in the dataset (meV per atom): 35.0
DOS at the Fermi energy (states/eV per cell): 5.62

```
GeTeSeI2
1.0
5.633 0.000 0.000
0.000 5.633 0.000
0.000 0.000 5.647
Ge Te Se I
1 1 1 2
direct
0.000 0.000 0.000 Ge
0.500 0.500 0.000 Te
0.500 0.500 0.500 Se
0.000 0.500 0.500 I
0.500 0.000 0.500 I
```